First-principles (GGA-PBE) data for a relaxed structure of NdTh2ScSb4, as listed in the Alexandria database.

The value obtained for the uncorrected energy is -6.2698 eV per atom. Its formation energy from raw total energies is -0.966 eV per atom. The density of states at the Fermi level comes out at 4.42 states/eV/f.u.

The space group is P2/m (No. 10) and the conventional cell measures 7.639, 4.454 and 7.706 Å, with angles of 90.00, 109.75 and 90.00 degrees. The asymmetric unit holds Nd at (0.000, 0.000, 0.000), Th at (0.500, 0.000, 0.500), Th at (0.500, 0.500, 0.000), Sc at (0.000, 0.500, 0.500), Sb at (0.235, 0.000, 0.735) and Sb at (0.242, 0.500, 0.257).